No. 1
The following is a PBE calculation of a relaxed POs2Pb crystal, from Alexandria via LeMat-Bulk.

Lattice parameters (Å, degrees): 3.088 3.176 14.067 90.00 90.00 90.00
Space group Imm2 (No. 44)
Inequivalent atoms, fractional coordinates:
P  0.000  0.000  0.000
Os  0.000  0.000  0.434
Os  0.000  0.500  0.622
Pb  0.000  0.500  0.257

Properties
V	17.2	Å³ per atom
raw total energy	-7.46	eV per atom
relative energy among the computed polymorphs	128	meV/atom
formation energy	0.430	eV per atom


No. 2
The following is a PBE calculation of a relaxed POsPb2 crystal, from Alexandria via LeMat-Bulk.

Lattice parameters (Å, degrees): 4.176 5.289 8.583 90.00 90.00 90.00
Space group Amm2 (No. 38)
Inequivalent atoms, fractional coordinates:
P  0.000  0.000  0.000
Os  0.500  0.000  0.105
Pb  0.000  0.000  0.352
Pb  0.500  0.000  0.730

Properties
V	23.7	Å³ per atom
raw total energy	-5.71	eV per atom
formation energy	0.302	eV per atom


No. 3
The following is a PBE calculation of a relaxed P2OsPb2 crystal, from Alexandria via LeMat-Bulk.

Lattice parameters (Å, degrees): 6.115 6.115 5.505 90.00 90.00 90.00
Space group P4/mbm (No. 127)
Inequivalent atoms, fractional coordinates:
P  0.132  0.368  0.000
Os  0.000  0.000  0.000
Pb  0.188  0.688  0.500

Properties
V	20.6	Å³ per atom
raw total energy	-5.83	eV per atom
relative energy among the computed polymorphs	0	meV/atom
formation energy	0.066	eV per atom


No. 4
The following is a PBE calculation of a relaxed POs2Pb crystal, from Alexandria via LeMat-Bulk.

Lattice parameters (Å, degrees): 2.960 5.188 8.822 90.00 90.00 90.00
Space group Immm (No. 71)
Inequivalent atoms, fractional coordinates:
P  0.000  0.000  0.000
Os  0.000  0.500  0.294
Pb  0.000  0.000  0.500

Properties
V	16.9	Å³ per atom
raw total energy	-7.20	eV per atom
relative energy among the computed polymorphs	394	meV/atom
formation energy	0.697	eV per atom